Entry A
Below is a relaxed structure of Zr2AuBr, with properties calculated at the GGA-PBE level.

Cell lengths 9.3795, 9.3795, 9.3795 Å; angles 20.10, 20.10, 20.10 degrees
With the nearest neighbours (Å) after each atom.
Positions (direct):
1 Au 0.2500 0.2500 0.2500  6 Zr 2.96, 6 Au 3.27
2 Br 0.7500 0.7500 0.7500  6 Zr 2.99, 6 Br 3.27
3 Zr 0.9993 0.9993 0.9993  3 Au 2.96, 3 Br 2.99, 6 Zr 3.27
4 Zr 0.5007 0.5007 0.5007  3 Au 2.96, 3 Br 2.99, 6 Zr 3.27

Output
space group: R-3m, No. 166

Entry B
Below is a relaxed structure of Zr2AuBr, with properties calculated at the GGA-PBE level.

Cell lengths 4.8759, 4.8759, 4.8759 Å; angles 60.00, 60.00, 60.00 degrees
With the nearest neighbours (Å) after each atom.
Positions (direct):
1 Au 0.5000 0.5000 0.5000  8 Zr 2.99
2 Br 0.0000 0.0000 0.0000  8 Zr 2.99
3 Zr 0.2500 0.2500 0.2500  4 Au 2.99, 4 Br 2.99
4 Zr 0.7500 0.7500 0.7500  4 Au 2.99, 4 Br 2.99

Output
space group: Fm-3m, No. 225

Entry C
Below is a relaxed structure of Zr2AuBr, with properties calculated at the GGA-PBE level.

Cell lengths 9.8972, 9.8972, 9.8972 Å; angles 20.03, 20.03, 20.03 degrees
With the nearest neighbours (Å) after each atom.
Positions (direct):
1 Au 0.5146 0.5146 0.5146  3 Zr 2.85
2 Br 0.7334 0.7334 0.7334  3 Zr 2.78
3 Zr 0.0001 0.0001 0.0001  3 Br 2.78, 3 Zr 3.10
4 Zr 0.2517 0.2517 0.2517  3 Au 2.85, 3 Zr 3.10

Output
space group: R3m, No. 160

Entry D
Below is a relaxed structure of Zr2AuBr, with properties calculated at the GGA-PBE level.

Cell lengths 5.0302, 5.0302, 5.0302 Å; angles 60.00, 60.00, 60.00 degrees
With the nearest neighbours (Å) after each atom.
Positions (direct):
1 Au 0.5000 0.5000 0.5000  4 Zr 3.08, 4 Br 3.08
2 Br 0.7500 0.7500 0.7500  4 Au 3.08, 4 Zr 3.08
3 Zr 0.0000 0.0000 0.0000  4 Zr 3.08, 4 Br 3.08
4 Zr 0.2500 0.2500 0.2500  4 Zr 3.08, 4 Au 3.08

Output
space group: F-43m, No. 216

Tell me which of them is the most stable. Sure, it is entry C.